VASP calculation (GGA-PBE) on a relaxed structure of CoTePS2.

Properties
mass density	5.23	Mg/m³
size of the total moment	0.000	μB per formula unit
energy	-21.94	eV/cell
crystal system	tetragonal
ΔE to the lowest computed polymorph	0.0000	eV/atom

The structure in extended XYZ format:
```
5
Lattice="-1.920 -3.886 -1.471 -1.153 -1.059 4.301 -3.719 2.026 -0.498" Properties=species:S:1:pos:R:3 pbc="T T T"
P -1.859 1.013 -0.249
S -0.577 -0.529 2.151
S -0.960 -1.943 -0.736
Te -3.396 -1.459 1.166
Co 0.000 0.000 0.000
```


VASP calculation (GGA-PBE) on a relaxed structure of CoTe2PS.

Properties
mass density	5.19	Mg/m³
size of the total moment	2.734	μB per formula unit
energy	-17.36	eV/cell
crystal system	tetragonal

The structure in extended XYZ format:
```
5
Lattice="5.148 0.000 0.000 0.000 4.552 0.000 0.000 0.000 5.148" Properties=species:S:1:pos:R:3 pbc="T T T"
P 0.000 2.276 0.000
S 0.000 0.000 0.000
Te 0.000 0.000 2.574
Te 2.574 0.000 0.000
Co 2.574 2.276 2.574
```


VASP calculation (GGA-PBE) on a relaxed structure of Th4CoPS2.

Properties
mass density	9.28	Mg/m³
size of the total moment	0.000	μB per formula unit
energy	-61.25	eV/cell
crystal system	monoclinic

The structure in extended XYZ format:
```
8
Lattice="-1.298 0.183 3.752 2.807 -6.435 1.285 6.793 0.813 2.310" Properties=species:S:1:pos:R:3 pbc="T T T"
Th 7.273 -4.056 2.714
Th 1.029 -1.382 4.634
Th 3.132 -4.498 3.408
Th 5.170 -0.940 3.939
Co 0.754 -3.126 2.519
P 4.800 -2.811 1.797
S 6.793 0.813 2.310
S 2.747 0.498 3.031
```


VASP calculation (GGA-PBE) on a relaxed structure of Th6CoP2S3.

Properties
mass density	9.19	Mg/m³
size of the total moment	0.000	μB per formula unit
energy	-92.42	eV/cell
crystal system	monoclinic

The structure in extended XYZ format:
```
12
Lattice="-2.842 1.533 2.409 3.003 -4.393 6.337 6.025 6.881 -0.641" Properties=species:S:1:pos:R:3 pbc="T T T"
Th 5.838 1.099 6.186
Th 1.870 0.773 5.081
Th 0.348 2.921 1.920
Th 0.694 -0.994 1.451
Th 5.492 5.014 6.655
Th 4.316 3.248 3.024
Co -1.421 0.767 1.205
P 3.647 2.937 5.800
P 2.540 1.084 2.305
S 0.081 -1.430 4.373
S 2.149 5.121 2.645
S 4.037 -1.100 5.461
```